Record 1
PrSmTmLu after structural relaxation, computed with PBE.

The space group is F-43m (No. 216) and the conventional cell measures 8.048, 8.048 and 8.048 Å, with angles of 90.00, 90.00 and 90.00 degrees. The distinct sites, in fractional coordinates, are Pr at (0.000, 0.000, 0.000), Sm at (0.000, 0.000, 0.500), Tm at (0.250, 0.250, 0.750) and Lu at (0.250, 0.250, 0.250).

The magnetization is 0.00 μB/atom. The energy of formation comes out at 0.091 eV per atom. The theoretical density comes out at 8.1 g cm⁻³.

=====

Record 2
PrY6Se8 after structural relaxation, computed with PBE.

The space group is R-3 (No. 148, hexagonal axes) and the conventional cell measures 11.1300, 11.1300 and 12.8357 Å, with angles of 90.00, 90.00 and 120.00 degrees. The distinct sites, in fractional coordinates, are Pr at (0.0000, 0.0000, 0.0000), Y at (0.0160, 0.8206, 0.3852), Se at (0.0000, 0.0000, 0.2334) and Se at (0.0141, 0.6208, 0.2542).

The magnetization is 0.04 μB/atom. The uncorrected formation energy is -1.506 eV/atom. The theoretical density comes out at 4.7 g cm⁻³.